Density functional theory data (PBE-GGA) for a relaxed Li3ThSi2 crystal.

Unit cell a=7.8104 b=7.8104 c=7.6711 alpha=115.05 beta=115.05 gamma=31.32
Last column: nearest neighbours and their distance in Å.
Positions (direct):
Li: 0.3119 0.3119 0.0375  4 Si 2.58-2.83, 3 Li 2.60-2.70
Li: 0.9577 0.9577 0.1243  3 Si 2.59-2.62, 3 Li 2.72-2.89
Li: 0.6006 0.6006 0.1883  3 Si 2.50-2.52, 1 Li 2.60
Li: 0.3994 0.3994 0.8117  3 Si 2.50-2.52, 1 Li 2.60
Li: 0.0423 0.0423 0.8757  3 Si 2.59-2.62, 3 Li 2.72-2.89
Li: 0.6881 0.6881 0.9625  4 Si 2.58-2.83, 3 Li 2.60-2.70
Si: 0.1973 0.1973 0.2153  4 Li 2.52-2.63
Si: 0.4821 0.4821 0.3363  1 Si 2.33, 4 Li 2.50-2.59
Si: 0.5179 0.5179 0.6637  1 Si 2.33, 4 Li 2.50-2.59
Si: 0.8027 0.8027 0.7847  4 Li 2.52-2.63
Th: 0.8551 0.8551 0.4405  7 Si 3.07-3.17, 5 Li 3.29-3.41
Th: 0.1449 0.1449 0.5595  7 Si 3.07-3.17, 5 Li 3.29-3.41

Uncorrected energy ... -4.41 eV per atom

---

Density functional theory data (PBE-GGA) for a relaxed CuGePdAu crystal.

Unit cell a=4.4602 b=4.4602 c=4.4602 alpha=60.00 beta=60.00 gamma=60.00
Last column: nearest neighbours and their distance in Å.
Positions (direct):
Au: 0.5000 0.5000 0.5000  4 Pd 2.73, 4 Cu 2.73
Cu: 0.7500 0.7500 0.7500  4 Ge 2.73, 4 Au 2.73
Ge: 0.0000 0.0000 0.0000  4 Pd 2.73, 4 Cu 2.73
Pd: 0.2500 0.2500 0.2500  4 Au 2.73, 4 Ge 2.73

Energy above the most stable polymorph in this dataset ... 0.0 meV per atom

---

Density functional theory data (PBE-GGA) for a relaxed GdB4Ir crystal.

Unit cell a=4.8626 b=4.8626 c=4.8626 alpha=141.80 beta=113.88 gamma=79.01
Last column: nearest neighbours and their distance in Å.
Positions (direct):
B: 0.5851 0.2552 0.3299  3 B 1.80
B: 0.0748 0.7448 0.3299  3 B 1.80
B: 0.9252 0.2552 0.6701  3 B 1.80
B: 0.4149 0.7448 0.6701  3 B 1.80
Gd: 0.0000 0.0000 0.0000  12 B 2.59
Ir: 0.5000 0.5000 0.0000  12 B 2.54-2.65

Energy above the most stable polymorph in this dataset ... 62.8 meV per atom

---

Density functional theory data (PBE-GGA) for a relaxed SmMoAu crystal.

Unit cell a=4.6994 b=4.6994 c=4.6994 alpha=60.00 beta=60.00 gamma=60.00
Last column: nearest neighbours and their distance in Å.
Positions (direct):
Au: 0.2500 0.2500 0.2500  4 Mo 2.88
Mo: 0.0000 0.0000 0.0000  4 Au 2.88, 4 Sm 2.88
Sm: 0.7500 0.7500 0.7500  4 Mo 2.88

Energy above the most stable polymorph in this dataset ... 0.0 meV per atom
DFT formation energy ... 653 meV/atom